No. 1
## TlMo4AsN2 (PBE)

Data for a relaxed structure of TlMo4AsN2.

```
data_TlMo4AsN2
_symmetry_space_group_name_H-M 'P -6 m 2'
_symmetry_Int_Tables_number 187
_symmetry_space_group_name_Hall 'P -6 2'
_cell_length_a 3.3244
_cell_length_b 3.3244
_cell_length_c 12.3236
_cell_angle_alpha 90.00
_cell_angle_beta 90.00
_cell_angle_gamma 120.00
loop_
_atom_site_label
_atom_site_fract_x
_atom_site_fract_y
_atom_site_fract_z
Tl1 0.0000 0.0000 0.0000
Mo1 0.0000 0.0000 0.3598
Mo2 0.6667 0.3333 0.1981
As1 0.6667 0.3333 0.5000
N1 0.3333 0.6667 0.2450
```

Properties
- M_tot (μB/atom) = 0.000

No. 2
## Sr2TaGaS6 (PBE)

Data for a relaxed structure of Sr2TaGaS6.

```
data_Sr2TaGaS6
_symmetry_space_group_name_H-M 'P 4/m m m'
_symmetry_Int_Tables_number 123
_symmetry_space_group_name_Hall '-P 4 2'
_cell_length_a 4.559
_cell_length_b 4.559
_cell_length_c 12.317
_cell_angle_alpha 90.00
_cell_angle_beta 90.00
_cell_angle_gamma 90.00
loop_
_atom_site_label
_atom_site_fract_x
_atom_site_fract_y
_atom_site_fract_z
Sr1 0.000 0.000 0.231
Ta1 0.500 0.500 0.500
Ga1 0.500 0.500 0.000
S1 0.000 0.000 0.000
S2 0.000 0.000 0.500
S3 0.000 0.500 0.379
```

Properties
- M_tot (μB/atom) = 0.150

No. 3
## Ho2SiAu (PBE)

Data for a relaxed structure of Ho2SiAu.

```
data_Ho2SiAu
_symmetry_space_group_name_H-M 'A m m 2'
_symmetry_Int_Tables_number 38
_symmetry_space_group_name_Hall 'A 2 -2'
_cell_length_a 4.263
_cell_length_b 3.994
_cell_length_c 10.794
_cell_angle_alpha 90.00
_cell_angle_beta 90.00
_cell_angle_gamma 90.00
loop_
_atom_site_label
_atom_site_fract_x
_atom_site_fract_y
_atom_site_fract_z
Ho1 0.000 0.000 0.000
Ho2 0.500 0.000 0.280
Si1 0.000 0.000 0.723
Au1 0.500 0.000 0.560
```

Properties
- M_tot (μB/atom) = 0.001

No. 4
## NdThTa (PBE)

Data for a relaxed structure of NdThTa.

```
data_NdThTa
_symmetry_space_group_name_H-M 'F -4 3 m'
_symmetry_Int_Tables_number 216
_symmetry_space_group_name_Hall 'F -4 2 3'
_cell_length_a 7.106
_cell_length_b 7.106
_cell_length_c 7.106
_cell_angle_alpha 90.00
_cell_angle_beta 90.00
_cell_angle_gamma 90.00
loop_
_atom_site_label
_atom_site_fract_x
_atom_site_fract_y
_atom_site_fract_z
Nd1 0.000 0.000 0.000
Th1 0.250 0.250 0.250
Ta1 0.250 0.250 0.750
```

Properties
- M_tot (μB/atom) = 0.006

No. 5
## Te2MoSe2I (PBE)

Data for a relaxed structure of Te2MoSe2I.

```
data_Te2MoSe2I
_symmetry_space_group_name_H-M 'P -1'
_symmetry_Int_Tables_number 2
_symmetry_space_group_name_Hall '-P 1'
_cell_length_a 6.702
_cell_length_b 8.407
_cell_length_c 8.634
_cell_angle_alpha 117.60
_cell_angle_beta 98.38
_cell_angle_gamma 104.43
loop_
_atom_site_label
_atom_site_fract_x
_atom_site_fract_y
_atom_site_fract_z
Te1 0.027 0.452 0.221
Te2 0.125 0.812 0.147
Mo1 0.286 0.500 0.000
Se1 0.392 0.329 0.708
Se2 0.461 0.315 0.106
I1 0.241 0.909 0.611
```

Properties
- M_tot (μB/atom) = 0.000
- offset from the most stable computed form (eV/atom) = 0.0414

No. 6
## KDyNO (PBE)

Data for a relaxed structure of KDyNO.

```
data_KDyNO
_symmetry_space_group_name_H-M 'P m c 21'
_symmetry_Int_Tables_number 26
_symmetry_space_group_name_Hall 'P 2c -2'
_cell_length_a 3.956
_cell_length_b 7.208
_cell_length_c 6.168
_cell_angle_alpha 90.00
_cell_angle_beta 90.00
_cell_angle_gamma 90.00
loop_
_atom_site_label
_atom_site_fract_x
_atom_site_fract_y
_atom_site_fract_z
K1 0.000 0.173 0.000
Dy1 0.500 0.346 0.528
N1 0.000 0.204 0.456
O1 0.500 0.393 0.869
```

Properties
- M_tot (μB/atom) = 0.249
- offset from the most stable computed form (eV/atom) = 0.0265

Number 1: uncorrected energy -8.3887 eV/atom. Number 2: uncorrected energy -4.6592 eV/atom. Number 3: uncorrected energy -5.2772 eV/atom. Number 4: uncorrected energy -6.7332 eV/atom. Number 5: uncorrected energy -4.5538 eV/atom. Number 6: uncorrected energy -6.0186 eV/atom.